[1]
The following is a DFT calculation (PBE-GGA) of a relaxed structure of CsAc3F10.

## Properties
formation energy from raw total energies = -387.29 kJ/mol of atoms
final energy = -6.292 eV/atom
density of states at the Fermi level = 0.00 states/eV/atom

Lattice parameters (Å, degrees): 12.894 12.894 12.894 90.00 90.00 90.00
Space group Fm-3m (No. 225)
One atom of each set of equivalent atoms:
Cs 0.250 0.250 0.250 x8
Ac 0.000 0.000 0.241 x24
F 0.000 0.164 0.336 x48
F 0.110 0.110 0.110 x32



[2]
The following is a DFT calculation (PBE-GGA) of a relaxed structure of CsAcF2.

## Properties
formation energy from raw total energies = -192.76 kJ/mol of atoms
final energy = -4.174 eV/atom
density of states at the Fermi level = 0.41 states/eV/atom

Lattice parameters (Å, degrees): 3.578 3.578 7.907 90.00 90.00 90.00
Space group P4/mmm (No. 123)
One atom of each set of equivalent atoms:
Cs 0.000 0.000 0.000 x1
Ac 0.000 0.000 0.500 x1
F 0.500 0.500 0.236 x2



[3]
The following is a DFT calculation (PBE-GGA) of a relaxed structure of CsAc2F6.

## Properties
formation energy from raw total energies = -350.77 kJ/mol of atoms
final energy = -5.891 eV/atom
density of states at the Fermi level = 0.23 states/eV/atom

Lattice parameters (Å, degrees): 4.403 4.403 20.581 90.00 90.00 90.00
Space group I4/mmm (No. 139)
One atom of each set of equivalent atoms:
Cs 0.000 0.000 0.000 x2
Ac 0.000 0.000 0.332 x4
F 0.000 0.500 0.117 x8
F 0.000 0.500 0.250 x4



[4]
The following is a DFT calculation (PBE-GGA) of a relaxed structure of CsAcF.

## Properties
formation energy from raw total energies = -164.03 kJ/mol of atoms
final energy = -3.978 eV/atom
density of states at the Fermi level = 0.58 states/eV/atom

Lattice parameters (Å, degrees): 5.911 5.912 14.846 90.00 90.06 90.00
Space group C2/m (No. 12)
One atom of each set of equivalent atoms:
Cs 0.249 0.000 0.174 x4
Ac 0.250 0.000 0.592 x4
F 0.250 0.000 0.755 x4



[5]
The following is a DFT calculation (PBE-GGA) of a relaxed structure of Cs4Ac6F19.

## Properties
formation energy from raw total energies = -339.32 kJ/mol of atoms
final energy = -5.711 eV/atom
density of states at the Fermi level = 0.21 states/eV/atom

Lattice parameters (Å, degrees): 12.325 12.325 12.325 90.00 90.00 90.00
Space group I23 (No. 197)
One atom of each set of equivalent atoms:
Cs 0.133 0.133 0.133 x8
Ac 0.000 0.165 0.500 x12
F 0.000 0.000 0.000 x2
F 0.000 0.000 0.386 x12
F 0.006 0.303 0.359 x24



[6]
The following is a DFT calculation (PBE-GGA) of a relaxed structure of CsAcF3.

## Properties
formation energy from raw total energies = -296.62 kJ/mol of atoms
final energy = -5.189 eV/atom
density of states at the Fermi level = 0.30 states/eV/atom

Lattice parameters (Å, degrees): 5.080 5.080 5.080 90.00 90.00 90.00
Space group Pm-3m (No. 221)
One atom of each set of equivalent atoms:
Cs 0.000 0.000 0.000 x1
Ac 0.500 0.500 0.500 x1
F 0.000 0.500 0.500 x3



[7]
The following is a DFT calculation (PBE-GGA) of a relaxed structure of CsAcH2F6.

## Properties
final energy = -5.203 eV/atom
density of states at the Fermi level = 0.00 states/eV/atom

Lattice parameters (Å, degrees): 9.294 9.917 7.997 90.00 118.75 90.00
Space group C2/c (No. 15)
One atom of each set of equivalent atoms:
Cs 0.000 0.137 0.250 x4
Ac 0.000 0.423 0.750 x4
H 0.202 0.123 0.735 x8
F 0.050 0.382 0.472 x8
F 0.184 0.205 0.814 x8
F 0.220 0.027 0.652 x8



[8]
The following is a DFT calculation (PBE-GGA) of a relaxed structure of Cs2AcHgF6.

## Properties
formation energy from raw total energies = -274.77 kJ/mol of atoms
final energy = -4.582 eV/atom
density of states at the Fermi level = 0.17 states/eV/atom

Lattice parameters (Å, degrees): 7.097 9.961 7.186 90.00 90.00 90.00
Space group Pmmn (No. 59, origin choice 2)
One atom of each set of equivalent atoms:
Cs 0.250 0.005 0.210 x4
Ac 0.250 0.250 0.721 x2
Hg 0.250 0.750 0.761 x2
F 0.005 0.750 0.058 x4
F 0.032 0.250 0.466 x4
F 0.250 0.013 0.781 x4